Below is DyScCu2As4 after structural relaxation, with properties calculated at the PBE level.

The total energy comes out at -5.382 eV/atom.

It has space group P4mm (No. 99), with a = 3.856 Å, b = 3.856 Å, c = 9.636 Å, α = 90.00°, β = 90.00° and γ = 90.00°. The asymmetric unit holds Dy at (0.000, 0.000, 0.000), Sc at (0.500, 0.500, 0.531), Cu at (0.000, 0.500, 0.271), As at (0.000, 0.000, 0.438), As at (0.000, 0.500, 0.757) and As at (0.500, 0.500, 0.105).



Below is TbDyCu2As4 after structural relaxation, with properties calculated at the PBE level.

The total energy comes out at -5.238 eV/atom.

It has space group P4mm (No. 99), with a = 3.915 Å, b = 3.915 Å, c = 9.863 Å, α = 90.00°, β = 90.00° and γ = 90.00°. The asymmetric unit holds Tb at (0.000, 0.000, 0.000), Dy at (0.500, 0.500, 0.526), Cu at (0.000, 0.500, 0.263), As at (0.000, 0.000, 0.423), As at (0.000, 0.500, 0.762) and As at (0.500, 0.500, 0.104).



Below is DyTmCu2As4 after structural relaxation, with properties calculated at the PBE level.

The total energy comes out at -5.199 eV/atom.

It has space group P4mm (No. 99), with a = 3.894 Å, b = 3.894 Å, c = 9.787 Å, α = 90.00°, β = 90.00° and γ = 90.00°. The asymmetric unit holds Dy at (0.000, 0.000, 0.000), Tm at (0.500, 0.500, 0.527), Cu at (0.000, 0.500, 0.264), As at (0.000, 0.000, 0.427), As at (0.000, 0.500, 0.762) and As at (0.500, 0.500, 0.102).



Below is LaErCu2As4 after structural relaxation, with properties calculated at the PBE level.

The total energy comes out at -5.278 eV/atom.

It has space group P4mm (No. 99), with a = 3.957 Å, b = 3.957 Å, c = 10.063 Å, α = 90.00°, β = 90.00° and γ = 90.00°. The asymmetric unit holds La at (0.000, 0.000, 0.000), Er at (0.500, 0.500, 0.476), Cu at (0.000, 0.500, 0.727), As at (0.000, 0.000, 0.573), As at (0.000, 0.500, 0.248) and As at (0.500, 0.500, 0.880).



Below is ErLuCu2As4 after structural relaxation, with properties calculated at the PBE level.

The total energy comes out at -5.177 eV/atom.

It has space group P4mm (No. 99), with a = 3.881 Å, b = 3.881 Å, c = 9.735 Å, α = 90.00°, β = 90.00° and γ = 90.00°. The asymmetric unit holds Er at (0.000, 0.000, 0.000), Lu at (0.500, 0.500, 0.528), Cu at (0.000, 0.500, 0.266), As at (0.000, 0.000, 0.430), As at (0.000, 0.500, 0.763) and As at (0.500, 0.500, 0.101).



Below is PrErCu2As4 after structural relaxation, with properties calculated at the PBE level.

The total energy comes out at -5.236 eV/atom.

It has space group P4mm (No. 99), with a = 3.950 Å, b = 3.950 Å, c = 10.009 Å, α = 90.00°, β = 90.00° and γ = 90.00°. The asymmetric unit holds Pr at (0.000, 0.000, 0.000), Er at (0.500, 0.500, 0.475), Cu at (0.000, 0.500, 0.729), As at (0.000, 0.000, 0.573), As at (0.000, 0.500, 0.245) and As at (0.500, 0.500, 0.884).



Below is ErScCu2As4 after structural relaxation, with properties calculated at the PBE level.

The total energy comes out at -5.369 eV/atom.

It has space group P4mm (No. 99), with a = 3.847 Å, b = 3.847 Å, c = 9.616 Å, α = 90.00°, β = 90.00° and γ = 90.00°. The asymmetric unit holds Er at (0.000, 0.000, 0.000), Sc at (0.500, 0.500, 0.531), Cu at (0.000, 0.500, 0.272), As at (0.000, 0.000, 0.439), As at (0.000, 0.500, 0.758) and As at (0.500, 0.500, 0.104).



Below is TbErCu2As4 after structural relaxation, with properties calculated at the PBE level.

The total energy comes out at -5.224 eV/atom.

It has space group P4mm (No. 99), with a = 3.910 Å, b = 3.910 Å, c = 9.830 Å, α = 90.00°, β = 90.00° and γ = 90.00°. The asymmetric unit holds Tb at (0.000, 0.000, 0.000), Er at (0.500, 0.500, 0.527), Cu at (0.000, 0.500, 0.265), As at (0.000, 0.000, 0.426), As at (0.000, 0.500, 0.762) and As at (0.500, 0.500, 0.104).



Number 1: M_tot 0.00 μB per cell. Number 2: M_tot 0.00 μB per cell. Number 3: M_tot 0.00 μB per cell. Number 4: M_tot 0.00 μB per cell. Number 5: M_tot 0.01 μB per cell. Number 6: M_tot 0.00 μB per cell. Number 7: M_tot 0.00 μB per cell. Number 8: M_tot 0.00 μB per cell.